# EuZr4SnO12 PBE-GGA relaxed
data_EuZr4SnO12
_cell_length_a 8.2361
_cell_length_b 7.9621
_cell_length_c 8.0889
_cell_angle_alpha 90.00
_cell_angle_beta 90.00
_cell_angle_gamma 90.00
_symmetry_space_group_name_H-M 'A m m 2'
_symmetry_Int_Tables_number 38
_symmetry_space_group_name_Hall 'A 2 -2'
loop_
_atom_site_label
_atom_site_type_symbol
_atom_site_fract_x
_atom_site_fract_y
_atom_site_fract_z
_atom_site_occupancy
Eu1 Eu 0.0000 0.0000 0.0000 1
Zr1 Zr 0.2445 0.2451 0.7391 1
Sn1 Sn 0.5000 0.0000 0.4611 1
O1 O 0.0000 0.1832 0.7442 1
O2 O 0.2118 0.0000 0.2719 1
O3 O 0.2193 0.1862 0.9893 1
O4 O 0.3297 0.0000 0.6425 1
O5 O 0.5000 0.1991 0.3104 1
# VASP energy = -8.684 eV per atom
# crystal system = orthorhombic

---

# SrEu2O PBE-GGA relaxed
data_SrEu2O
_cell_length_a 3.7578
_cell_length_b 3.7578
_cell_length_c 30.7296
_cell_angle_alpha 90.00
_cell_angle_beta 90.00
_cell_angle_gamma 120.00
_symmetry_space_group_name_H-M 'R -3 m'
_symmetry_Int_Tables_number 166
_symmetry_space_group_name_Hall '-R 3 2"'
loop_
_atom_site_label
_atom_site_type_symbol
_atom_site_fract_x
_atom_site_fract_y
_atom_site_fract_z
_atom_site_occupancy
Sr1 Sr 0.0000 0.0000 0.0000 1
Eu1 Eu 0.0000 0.0000 0.1218 1
O1 O 0.0000 0.0000 0.5000 1
# VASP energy = -7.983 eV per atom
# crystal system = trigonal

---

# Sr2EuO PBE-GGA relaxed
data_Sr2EuO
_cell_length_a 3.7738
_cell_length_b 3.7738
_cell_length_c 30.9470
_cell_angle_alpha 90.00
_cell_angle_beta 90.00
_cell_angle_gamma 120.00
_symmetry_space_group_name_H-M 'R -3 m'
_symmetry_Int_Tables_number 166
_symmetry_space_group_name_Hall '-R 3 2"'
loop_
_atom_site_label
_atom_site_type_symbol
_atom_site_fract_x
_atom_site_fract_y
_atom_site_fract_z
_atom_site_occupancy
Sr1 Sr 0.0000 0.0000 0.1182 1
Eu1 Eu 0.0000 0.0000 0.0000 1
O1 O 0.0000 0.0000 0.5000 1
# VASP energy = -5.795 eV per atom
# crystal system = trigonal

---

# SrEuO PBE-GGA relaxed
data_SrEuO
_cell_length_a 3.7600
_cell_length_b 3.7600
_cell_length_c 6.5045
_cell_angle_alpha 90.00
_cell_angle_beta 90.00
_cell_angle_gamma 120.00
_symmetry_space_group_name_H-M 'P 3 m 1'
_symmetry_Int_Tables_number 156
_symmetry_space_group_name_Hall 'P 3 -2"'
loop_
_atom_site_label
_atom_site_type_symbol
_atom_site_fract_x
_atom_site_fract_y
_atom_site_fract_z
_atom_site_occupancy
Sr1 Sr 0.0000 0.0000 0.0000 1
Eu1 Eu 0.3333 0.6667 0.5560 1
O1 O 0.6667 0.3333 0.7635 1
# VASP energy = -7.298 eV per atom
# crystal system = trigonal